Record 1
First-principles (GGA-PBE) data for a relaxed YPd2Pt crystal, as listed in Alexandria via LeMat-Bulk.

Structure (CIF):
```
data_YPd2Pt
_cell_length_a 6.609
_cell_length_b 6.609
_cell_length_c 6.609
_cell_angle_alpha 90.00
_cell_angle_beta 90.00
_cell_angle_gamma 90.00
_symmetry_space_group_name_H-M 'F m -3 m'
_symmetry_Int_Tables_number 225
_symmetry_space_group_name_Hall '-F 4 2 3'
loop_
_atom_site_label
_atom_site_type_symbol
_atom_site_fract_x
_atom_site_fract_y
_atom_site_fract_z
Y1 Y 0.000 0.000 0.000
Pd1 Pd 0.250 0.250 0.250
Pt1 Pt 0.000 0.000 0.500
```

Record 2
First-principles (GGA-PBE) data for a relaxed YPd2Pt2 crystal, as listed in Alexandria via LeMat-Bulk.

Structure (CIF):
```
data_YPd2Pt2
_cell_length_a 7.187
_cell_length_b 7.187
_cell_length_c 3.546
_cell_angle_alpha 90.00
_cell_angle_beta 90.00
_cell_angle_gamma 90.00
_symmetry_space_group_name_H-M 'P 4/m b m'
_symmetry_Int_Tables_number 127
_symmetry_space_group_name_Hall '-P 4 2ab'
loop_
_atom_site_label
_atom_site_type_symbol
_atom_site_fract_x
_atom_site_fract_y
_atom_site_fract_z
Y1 Y 0.000 0.000 0.000
Pd1 Pd 0.164 0.336 0.500
Pt1 Pt 0.134 0.634 0.000
```

Record 3
First-principles (GGA-PBE) data for a relaxed YPd3Pt crystal, as listed in Alexandria via LeMat-Bulk.

Structure (CIF):
```
data_YPd3Pt
_cell_length_a 5.256
_cell_length_b 9.266
_cell_length_c 7.488
_cell_angle_alpha 90.00
_cell_angle_beta 95.90
_cell_angle_gamma 90.00
_symmetry_space_group_name_H-M 'C 1 2/m 1'
_symmetry_Int_Tables_number 12
loop_
_symmetry_equiv_pos_as_xyz
'x,y,z'
'-x,-y,-z'
'-x,y,-z'
'x,-y,z'
'x+1/2,y+1/2,z'
'-x+1/2,-y+1/2,-z'
'-x+1/2,y+1/2,-z'
'x+1/2,-y+1/2,z'
loop_
_atom_site_label
_atom_site_type_symbol
_atom_site_fract_x
_atom_site_fract_y
_atom_site_fract_z
Y1 Y 0.220 0.000 0.201
Pd1 Pd 0.000 0.251 0.500
Pd2 Pd 0.188 0.318 0.147
Pt1 Pt 0.245 0.500 0.425
```

Record 4
First-principles (GGA-PBE) data for a relaxed YPd2Pt2 crystal, as listed in Alexandria via LeMat-Bulk.

Structure (CIF):
```
data_YPd2Pt2
_cell_length_a 4.7219
_cell_length_b 4.7219
_cell_length_c 10.7585
_cell_angle_alpha 90.00
_cell_angle_beta 90.00
_cell_angle_gamma 120.00
_symmetry_space_group_name_H-M 'P 63/m m c'
_symmetry_Int_Tables_number 194
_symmetry_space_group_name_Hall '-P 6c 2c'
loop_
_atom_site_label
_atom_site_type_symbol
_atom_site_fract_x
_atom_site_fract_y
_atom_site_fract_z
Y1 Y 0.0000 0.0000 0.2500
Pd1 Pd 0.3333 0.6667 0.0029
Pt1 Pt 0.0000 0.0000 0.0000
Pt2 Pt 0.3333 0.6667 0.2500
```

Record 5
First-principles (GGA-PBE) data for a relaxed Y7Pd2Pt2 crystal, as listed in Alexandria via LeMat-Bulk.

Structure (CIF):
```
data_Y7Pd2Pt2
_cell_length_a 10.643
_cell_length_b 8.152
_cell_length_c 7.052
_cell_angle_alpha 90.00
_cell_angle_beta 90.11
_cell_angle_gamma 90.00
_symmetry_space_group_name_H-M 'C 1 2/m 1'
_symmetry_Int_Tables_number 12
loop_
_symmetry_equiv_pos_as_xyz
'x,y,z'
'-x,-y,-z'
'-x,y,-z'
'x,-y,z'
'x+1/2,y+1/2,z'
'-x+1/2,-y+1/2,-z'
'-x+1/2,y+1/2,-z'
'x+1/2,-y+1/2,z'
loop_
_atom_site_label
_atom_site_type_symbol
_atom_site_fract_x
_atom_site_fract_y
_atom_site_fract_z
Y1 Y 0.000 0.000 0.000
Y2 Y 0.000 0.500 0.258
Y3 Y 0.250 0.250 0.262
Pd1 Pd 0.000 0.208 0.500
Pt1 Pt 0.218 0.500 0.000
```

Record 6
First-principles (GGA-PBE) data for a relaxed YZn2Pd2Pt crystal, as listed in Alexandria via LeMat-Bulk.

Structure (CIF):
```
data_YZn2Pd2Pt
_cell_length_a 4.716
_cell_length_b 4.716
_cell_length_c 5.476
_cell_angle_alpha 90.00
_cell_angle_beta 90.00
_cell_angle_gamma 90.00
_symmetry_space_group_name_H-M 'P 4/m m m'
_symmetry_Int_Tables_number 123
_symmetry_space_group_name_Hall '-P 4 2'
loop_
_atom_site_label
_atom_site_type_symbol
_atom_site_fract_x
_atom_site_fract_y
_atom_site_fract_z
Y1 Y 0.000 0.000 0.000
Zn1 Zn 0.000 0.500 0.500
Pd1 Pd 0.500 0.500 0.245
Pt1 Pt 0.000 0.000 0.500
```

Record 7
First-principles (GGA-PBE) data for a relaxed YZnPdPt crystal, as listed in Alexandria via LeMat-Bulk.

Structure (CIF):
```
data_YZnPdPt
_cell_length_a 7.654
_cell_length_b 4.438
_cell_length_c 5.167
_cell_angle_alpha 90.00
_cell_angle_beta 119.78
_cell_angle_gamma 90.00
_symmetry_space_group_name_H-M 'C 1 m 1'
_symmetry_Int_Tables_number 8
loop_
_symmetry_equiv_pos_as_xyz
'x,y,z'
'x,-y,z'
'x+1/2,y+1/2,z'
'x+1/2,-y+1/2,z'
loop_
_atom_site_label
_atom_site_type_symbol
_atom_site_fract_x
_atom_site_fract_y
_atom_site_fract_z
Y1 Y 0.000 0.000 0.000
Zn1 Zn 0.494 0.000 0.483
Pd1 Pd 0.217 0.000 0.650
Pt1 Pt 0.281 0.500 0.345
```

Record 8
First-principles (GGA-PBE) data for a relaxed Zn2Pd12Pt5 crystal, as listed in Alexandria via LeMat-Bulk.

Structure (CIF):
```
data_Zn2Pd12Pt5
_cell_length_a 11.806
_cell_length_b 8.363
_cell_length_c 6.054
_cell_angle_alpha 90.00
_cell_angle_beta 90.57
_cell_angle_gamma 90.00
_symmetry_space_group_name_H-M 'C 1 2/m 1'
_symmetry_Int_Tables_number 12
loop_
_symmetry_equiv_pos_as_xyz
'x,y,z'
'-x,-y,-z'
'-x,y,-z'
'x,-y,z'
'x+1/2,y+1/2,z'
'-x+1/2,-y+1/2,-z'
'-x+1/2,y+1/2,-z'
'x+1/2,-y+1/2,z'
loop_
_atom_site_label
_atom_site_type_symbol
_atom_site_fract_x
_atom_site_fract_y
_atom_site_fract_z
Zn1 Zn 0.000 0.238 0.000
Pd1 Pd 0.052 0.000 0.706
Pd2 Pd 0.102 0.234 0.386
Pd3 Pd 0.121 0.500 0.094
Pd4 Pd 0.191 0.252 0.804
Pt1 Pt 0.000 0.500 0.500
Pt2 Pt 0.163 0.000 0.095
Pt3 Pt 0.233 0.500 0.499
```

Number 1: formation energy -70.9 kJ per mole of atoms, theoretical density 11.43 g/cm³, total moment 0.00 μB/f.u.. Number 2: formation energy -49.4 kJ per mole of atoms, theoretical density 12.55 g/cm³, total moment 0.00 μB/f.u.. Number 3: formation energy -58.8 kJ per mole of atoms, theoretical density 11.05 g/cm³, total moment 0.00 μB/f.u.. Number 4: formation energy -34.1 kJ per mole of atoms, theoretical density 11.06 g/cm³, total moment 0.00 μB/f.u.. Number 5: formation energy -58.4 kJ per mole of atoms, theoretical density 6.65 g/cm³, total moment 0.00 μB/f.u.. Number 6: formation energy -36.0 kJ per mole of atoms, theoretical density 8.56 g/cm³, total moment 0.00 μB/f.u.. Number 7: formation energy -81.2 kJ per mole of atoms, theoretical density 9.94 g/cm³, total moment 0.00 μB/f.u.. Number 8: formation energy -6.9 kJ per mole of atoms, theoretical density 13.24 g/cm³, total moment 0.00 μB/f.u..